1.
18
Lattice="-1.845 1.449 -2.349 5.288 -2.549 -3.379 -4.759 -8.158 -1.295" Properties=species:S:1:pos:R:3 comment="GGA-PBE Ce2BeTcN5, relaxed" mass_density_g_cm3=7.307 n_ef_per_ev_cell=3.0 e_form_raw_ev_per_atom=-0.83 spacegroup="No. 36" final_energy_ev_per_atom=-8.3387 pbc="T T T"
N 0.930 -4.197 -3.319
N 0.640 -8.185 -5.551
N 0.625 -5.121 -5.995
N -2.244 -1.568 -1.551
N -3.438 -7.106 -4.029
N -2.001 -4.064 -3.281
N -0.507 -6.463 -3.589
N 0.069 -1.291 -3.196
N 2.910 -1.382 -3.137
N 0.321 -0.260 -0.412
Ce -1.588 -7.328 -5.618
Ce -0.403 -3.089 -1.588
Ce -2.259 -6.152 -2.021
Ce 1.426 -2.279 -4.871
Be 1.800 -5.243 -4.647
Be -4.948 -7.158 -2.875
Tc -0.714 -4.628 -4.639
Tc 1.598 -0.860 -1.785


2.
9
Lattice="-0.459 -0.583 3.655 7.186 -3.020 0.421 -1.086 7.657 1.085" Properties=species:S:1:pos:R:3 comment="GGA-PBE Hf6NbSb2, relaxed" mass_density_g_cm3=11.869 n_ef_per_ev_cell=6.3 e_form_raw_ev_per_atom=-0.28 spacegroup="No. 189" final_energy_ev_per_atom=-8.9477 pbc="T T T"
Sb 4.429 0.539 0.642
Sb 1.671 4.098 0.864
Hf 2.199 1.555 2.427
Hf 4.096 -2.109 2.081
Hf 1.821 -0.765 0.107
Hf 6.303 1.296 2.901
Hf -0.274 1.941 0.275
Hf 4.555 3.461 1.124
Nb 6.956 -3.311 2.249


3.
18
Lattice="6.907 0.000 0.000 0.000 5.422 0.000 -3.454 -2.711 7.836" Properties=species:S:1:pos:R:3 comment="GGA-PBE Ti2Pd5Pt2, relaxed" mass_density_g_cm3=11.522 formation_enthalpy_0k_ev_per_atom=-0.175 n_ef_per_ev_cell=17.5 spacegroup="No. 46" final_energy_ev_per_atom=-6.1565 pbc="T T T"
Pt 3.818 2.919 3.918
Pt 3.454 2.882 0.000
Pt 0.000 0.171 0.000
Pt -0.364 0.208 3.918
Ti 0.969 2.911 7.126
Ti 0.969 2.911 0.709
Ti 2.485 0.200 7.126
Ti 2.485 0.200 0.709
Pd -0.409 2.923 3.918
Pd 1.728 -1.150 5.222
Pd -1.699 1.564 6.146
Pd 3.862 0.213 3.918
Pd 1.726 1.561 2.614
Pd 1.726 1.561 5.222
Pd -1.755 -1.146 6.146
Pd 5.153 4.275 1.689
Pd 5.208 1.564 1.689
Pd 1.728 4.272 2.614


4.
18
Lattice="11.790 0.000 0.000 0.000 11.418 0.000 -5.895 -5.709 8.324" Properties=species:S:1:pos:R:3 comment="GGA-PBE CsPrPbI6, relaxed" mass_density_g_cm3=3.683 n_ef_per_ev_cell=0.0 e_form_raw_ev_per_atom=-1.13 spacegroup="No. 74" final_energy_ev_per_atom=-3.1986 pbc="T T T"
I 8.326 -0.523 2.120
I -2.431 6.231 6.204
I 5.895 -2.854 5.308
I 0.000 2.854 6.881
I 3.464 6.231 2.120
I 0.000 8.563 3.015
I -2.431 -0.523 6.204
I 5.895 2.854 1.442
I 8.326 6.231 2.120
I 2.431 -0.523 6.204
I 3.464 -0.523 2.120
I 2.431 6.231 6.204
Cs 5.895 2.854 5.234
Cs 0.000 2.854 3.089
Pr 2.948 -2.854 4.162
Pr -2.948 -2.854 4.162
Pb 5.895 5.709 0.000
Pb 5.895 0.000 0.000


5.
10
Lattice="-1.421 1.451 3.689 1.378 -3.493 1.905 8.745 4.354 1.658" Properties=species:S:1:pos:R:3 comment="GGA-PBE Ac2Si3Ni4Ge, relaxed" mass_density_g_cm3=7.993 n_ef_per_ev_cell=7.7 e_form_raw_ev_per_atom=-0.65 spacegroup="No. 115" final_energy_ev_per_atom=-5.8712 pbc="T T T"
Si 7.019 4.574 3.310
Si 4.372 2.177 0.829
Si 1.704 -1.241 1.145
Ac 7.261 1.526 2.198
Ac 1.462 1.807 2.256
Ni -0.022 -1.021 2.797
Ni 0.000 0.000 0.000
Ni 3.962 -0.117 1.573
Ni 4.761 3.450 2.881
Ge 4.351 1.156 3.626


6.
12
Lattice="-5.042 -4.150 4.152 -2.859 -5.712 -4.372 3.539 -6.881 -0.176" Properties=species:S:1:pos:R:3 comment="GGA-PBE Dy5ErBi6, relaxed" mass_density_g_cm3=9.800 formation_enthalpy_0k_ev_per_atom=-0.851 n_ef_per_ev_cell=2.1 spacegroup="No. 12" final_energy_ev_per_atom=-5.0894 pbc="T T T"
Bi -2.847 -5.876 2.696
Bi -1.752 -6.660 -1.581
Bi -5.931 -7.405 -0.168
Bi -1.970 -2.457 -0.052
Bi -1.514 -10.867 -3.092
Bi -2.609 -10.083 1.185
Dy 0.225 -4.196 -1.517
Dy 0.455 -8.396 -3.031
Dy -0.643 -7.610 1.228
Dy -3.950 -4.931 -0.110
Dy -3.718 -9.133 -1.624
Er 0.000 0.000 0.000


Copy entry 3 word for word.
18
Lattice="6.907 0.000 0.000 0.000 5.422 0.000 -3.454 -2.711 7.836" Properties=species:S:1:pos:R:3 comment="GGA-PBE Ti2Pd5Pt2, relaxed" mass_density_g_cm3=11.522 formation_enthalpy_0k_ev_per_atom=-0.175 n_ef_per_ev_cell=17.5 spacegroup="No. 46" final_energy_ev_per_atom=-6.1565 pbc="T T T"
Pt 3.818 2.919 3.918
Pt 3.454 2.882 0.000
Pt 0.000 0.171 0.000
Pt -0.364 0.208 3.918
Ti 0.969 2.911 7.126
Ti 0.969 2.911 0.709
Ti 2.485 0.200 7.126
Ti 2.485 0.200 0.709
Pd -0.409 2.923 3.918
Pd 1.728 -1.150 5.222
Pd -1.699 1.564 6.146
Pd 3.862 0.213 3.918
Pd 1.726 1.561 2.614
Pd 1.726 1.561 5.222
Pd -1.755 -1.146 6.146
Pd 5.153 4.275 1.689
Pd 5.208 1.564 1.689
Pd 1.728 4.272 2.614


- Number 4 is which compound?
  CsPrPbI6